Record 1
The following is a DFT calculation (PBE-GGA) of crystalline LaBiIN2 at its relaxed geometry.

Unit cell a=4.502 b=4.502 c=6.546 alpha=90.00 beta=90.00 gamma=90.00
Atoms (fractional coordinates):
I  0.000  0.000  0.500
La  0.000  0.000  0.000
Bi  0.500  0.500  0.500
N  0.500  0.000  0.000
N  0.000  0.500  0.000

Calculated values
total DFT energy (no corrections) = -23.38 eV for the cell shown
distance to the lowest polymorph of the same formula = 0 meV per atom
crystal system = tetragonal
V = 26.532 A^3/atom

***

Record 2
The following is a DFT calculation (PBE-GGA) of crystalline LaBiIN2 at its relaxed geometry.

Unit cell a=4.559 b=4.559 c=5.865 alpha=90.00 beta=90.00 gamma=90.00
Atoms (fractional coordinates):
N  0.000  0.500  0.000
La  0.500  0.500  0.500
I  0.000  0.000  0.500
N  0.500  0.000  0.000
Bi  0.000  0.000  0.000

Calculated values
total DFT energy (no corrections) = -22.86 eV for the cell shown
distance to the lowest polymorph of the same formula = 104 meV per atom
crystal system = tetragonal
V = 24.376 A^3/atom

***

Record 3
The following is a DFT calculation (PBE-GGA) of crystalline LaNdBiI at its relaxed geometry.

Unit cell a=5.625 b=5.625 c=5.625 alpha=60.00 beta=60.00 gamma=60.00
Atoms (fractional coordinates):
Nd  0.750  0.750  0.750
I  0.000  0.000  0.000
La  0.250  0.250  0.250
Bi  0.500  0.500  0.500

Calculated values
total DFT energy (no corrections) = -18.83 eV for the cell shown
crystal system = cubic
V = 31.456 A^3/atom

***

Record 4
The following is a DFT calculation (PBE-GGA) of crystalline LaBiI2O at its relaxed geometry.

Unit cell a=6.402 b=6.402 c=4.318 alpha=90.00 beta=90.00 gamma=90.00
Atoms (fractional coordinates):
La  0.500  0.500  0.500
Bi  0.000  0.000  0.000
O  0.000  0.000  0.500
I  0.500  0.000  0.000
I  0.000  0.500  0.000

Calculated values
total DFT energy (no corrections) = -19.23 eV for the cell shown
distance to the lowest polymorph of the same formula = 655 meV per atom
crystal system = tetragonal
V = 35.389 A^3/atom

***

Record 5
The following is a DFT calculation (PBE-GGA) of crystalline LaBiI2O at its relaxed geometry.

Unit cell a=6.559 b=6.559 c=4.258 alpha=90.00 beta=90.00 gamma=90.00
Atoms (fractional coordinates):
I  0.000  0.500  0.000
Bi  0.500  0.500  0.500
O  0.000  0.000  0.500
I  0.500  0.000  0.000
La  0.000  0.000  0.000

Calculated values
total DFT energy (no corrections) = -22.50 eV for the cell shown
distance to the lowest polymorph of the same formula = 0 meV per atom
crystal system = tetragonal
V = 36.631 A^3/atom

***

Record 6
The following is a DFT calculation (PBE-GGA) of crystalline LaBi2IO8 at its relaxed geometry.

Unit cell a=5.265 b=5.267 c=7.027 alpha=90.00 beta=90.00 gamma=89.22
Atoms (fractional coordinates):
O  0.824  0.178  0.795
O  0.747  0.751  0.000
O  0.319  0.317  0.500
O  0.253  0.249  0.000
O  0.176  0.822  0.205
Bi  0.500  0.500  0.246
O  0.681  0.683  0.500
O  0.824  0.178  0.205
O  0.176  0.822  0.795
I  0.000  0.000  0.000
Bi  0.500  0.500  0.754
La  0.000  0.000  0.500

Calculated values
total DFT energy (no corrections) = -70.01 eV for the cell shown
crystal system = monoclinic
V = 16.237 A^3/atom

***

Record 7
The following is a DFT calculation (PBE-GGA) of crystalline La4BiPI2 at its relaxed geometry.

Unit cell a=4.448 b=8.116 c=7.974 alpha=71.52 beta=90.00 gamma=90.00
Atoms (fractional coordinates):
Bi  0.500  0.500  0.000
P  0.000  0.500  0.500
La  0.500  0.299  0.706
La  0.000  0.714  0.725
La  0.500  0.701  0.294
I  0.000  0.000  0.000
I  0.500  0.000  0.500
La  0.000  0.286  0.275

Calculated values
total DFT energy (no corrections) = -42.10 eV for the cell shown
crystal system = monoclinic
V = 34.126 A^3/atom

***

Record 8
The following is a DFT calculation (PBE-GGA) of crystalline La4Bi2PbI at its relaxed geometry.

Unit cell a=4.710 b=8.108 c=8.078 alpha=70.56 beta=90.00 gamma=90.00
Atoms (fractional coordinates):
Bi  0.000  0.000  0.000
La  0.000  0.751  0.757
La  0.500  0.242  0.763
Pb  0.500  0.500  0.000
Bi  0.500  0.000  0.500
La  0.000  0.249  0.243
I  0.000  0.500  0.500
La  0.500  0.758  0.237

Calculated values
total DFT energy (no corrections) = -40.56 eV for the cell shown
crystal system = monoclinic
V = 36.363 A^3/atom

***

Record 9
The following is a DFT calculation (PBE-GGA) of crystalline LaPrBiI at its relaxed geometry.

Unit cell a=5.642 b=5.642 c=5.642 alpha=60.00 beta=60.00 gamma=60.00
Atoms (fractional coordinates):
La  0.750  0.750  0.750
I  0.000  0.000  0.000
Bi  0.500  0.500  0.500
Pr  0.250  0.250  0.250

Calculated values
total DFT energy (no corrections) = -18.90 eV for the cell shown
crystal system = cubic
V = 31.752 A^3/atom

***

Record 10
The following is a DFT calculation (PBE-GGA) of crystalline LaPuBiI at its relaxed geometry.

Unit cell a=5.609 b=5.609 c=5.609 alpha=60.00 beta=60.00 gamma=60.00
Atoms (fractional coordinates):
La  0.000  0.000  0.000
Pu  0.500  0.500  0.500
I  0.750  0.750  0.750
Bi  0.250  0.250  0.250

Calculated values
total DFT energy (no corrections) = -27.60 eV for the cell shown
crystal system = cubic
V = 31.192 A^3/atom

***

Record 11
The following is a DFT calculation (PBE-GGA) of crystalline LaBiRu2I at its relaxed geometry.

Unit cell a=4.916 b=6.118 c=4.916 alpha=90.00 beta=90.00 gamma=90.00
Atoms (fractional coordinates):
La  0.000  0.000  0.000
Ru  0.500  0.000  0.000
I  0.000  0.500  0.000
Bi  0.500  0.500  0.500
Ru  0.000  0.000  0.500

Calculated values
total DFT energy (no corrections) = -23.20 eV for the cell shown
crystal system = tetragonal
V = 29.576 A^3/atom

***

Record 12
The following is a DFT calculation (PBE-GGA) of crystalline La4Bi2SbI at its relaxed geometry.

Unit cell a=4.682 b=8.045 c=8.083 alpha=70.34 beta=90.00 gamma=90.00
Atoms (fractional coordinates):
La  0.000  0.251  0.241
Sb  0.500  0.500  0.000
La  0.000  0.749  0.759
I  0.000  0.500  0.500
Bi  0.000  0.000  0.000
La  0.500  0.244  0.761
Bi  0.500  0.000  0.500
La  0.500  0.756  0.239

Calculated values
total DFT energy (no corrections) = -42.24 eV for the cell shown
crystal system = monoclinic
V = 35.835 A^3/atom

***

Number 1: density 6294 kg/m³. Number 2: density 6850 kg/m³. Number 3: density 8169 kg/m³. Number 4: density 5797 kg/m³. Number 5: density 5600 kg/m³. Number 6: density 6918 kg/m³. Number 7: density 6383 kg/m³. Number 8: density 7465 kg/m³. Number 9: density 8050 kg/m³. Number 10: density 9566 kg/m³. Number 11: density 7601 kg/m³. Number 12: density 7080 kg/m³.